Entry 1:
# Y2SbRu

Crystalline Y2SbRu at its relaxed geometry (GGA-PBE, the Alexandria database).

```
Y2SbRu
1.0
3.677 0.000 0.000
-1.839 3.184 0.000
0.000 0.000 25.600
Y Sb Ru
6 3 3
Cartesian
0.000 0.000 6.151
0.000 0.000 19.449
0.000 2.123 10.915
0.000 2.123 23.217
1.839 1.061 2.382
1.839 1.061 14.684
0.000 0.000 0.000
0.000 2.123 17.066
1.839 1.061 8.533
0.000 0.000 12.800
0.000 2.123 4.267
1.839 1.061 21.333
```

The uncorrected formation energy is -1.4 eV per formula unit.

---

Entry 2:
# MnAlFe3

Crystalline MnAlFe3 at its relaxed geometry (GGA-PBE, the Alexandria database).

```
MnAlFe3
1.0
4.739 0.000 0.000
0.000 8.201 0.000
-3.398 0.000 6.137
Mn Al Fe
4 4 12
Cartesian
0.488 1.039 0.936
-1.211 3.061 4.005
2.552 5.140 2.132
0.853 7.161 5.200
0.020 5.223 3.411
1.719 7.078 0.343
-0.378 1.123 5.794
1.321 2.978 2.726
-2.481 5.146 4.635
-0.782 7.155 1.567
0.375 5.055 0.925
-1.324 7.246 3.994
0.006 0.974 3.346
1.705 3.126 0.277
-0.363 5.075 5.860
1.336 7.226 2.791
2.665 0.954 2.143
0.966 3.146 5.212
2.123 1.045 4.570
3.822 3.055 1.502
```

As for the formation energy: -0.079 eV/atom.

---

Entry 3:
# Li2HPtSe

Crystalline Li2HPtSe at its relaxed geometry (GGA-PBE, the Alexandria database).

```
Li2HPtSe
1.0
4.049 0.000 0.000
0.000 4.049 0.000
0.000 0.000 3.763
Li H Pt Se
2 1 1 1
Cartesian
0.000 2.025 0.000
2.025 0.000 0.000
0.000 0.000 0.000
0.000 0.000 1.881
2.025 2.025 1.881
```

---

| no. | DFT total energy (eV per atom) |
| --- | --- |
| 1 | -6.925 |
| 2 | -7.739 |
| 3 | -3.954 |